The following is a DFT calculation (GGA-PBE) of a geometry-optimized K3Cd2Ag structure.

abc: 11.6225 10.6031 8.5043
angles: 90.00 106.06 90.00
With the nearest neighbours (Å) after each atom.
Space group C2/c (No. 15)
Symmetry-distinct sites (fractional):
K 0.0000 0.1236 0.2500 x4  1 Ag 3.40, 4 Cd 3.61-3.71
K 0.1773 0.4318 0.9827 x8  1 Ag 3.48, 4 Cd 3.65-3.76
Cd 0.1962 0.2339 0.6319 x8  1 Ag 2.76, 1 Cd 2.88
Ag 0.0000 0.1974 0.7500 x4  2 Cd 2.76

* E_form: -0.017 eV per atom
* E_tot: -1.35 eV/atom
* calculated density: 3.0 Mg/m³

---

The following is a DFT calculation (GGA-PBE) of a geometry-optimized K2Cd5Ag5 structure.

abc: 4.7207 5.9944 10.4210
angles: 90.00 90.00 90.00
With the nearest neighbours (Å) after each atom.
Space group Pmmm (No. 47)
Symmetry-distinct sites (fractional):
K 0.0000 0.0000 0.0000 x1  6 Cd 3.38-3.47
K 0.0000 0.5000 0.5000 x1  10 Cd 3.46-3.82, 8 Ag 3.84
Cd 0.0000 0.0000 0.3245 x2  4 Ag 2.91, 2 Cd 2.99
Cd 0.0000 0.5000 0.1680 x2  6 Ag 2.91-2.94
Cd 0.5000 0.0000 0.5000 x1  4 Cd 2.99, 4 Ag 3.04
Ag 0.5000 0.2513 0.2469 x4  5 Cd 2.91-3.04, 3 Ag 2.97-3.01
Ag 0.5000 0.5000 0.0000 x1  4 Cd 2.94, 4 Ag 2.97

* E_form: -0.061 eV per atom
* E_tot: -1.81 eV/atom
* calculated density: 6.6 Mg/m³

---

The following is a DFT calculation (GGA-PBE) of a geometry-optimized K2Cd12Ag5 structure.

abc: 10.2791 10.2791 14.6851
angles: 90.00 90.00 120.00
With the nearest neighbours (Å) after each atom.
Space group R-3m (No. 166, hexagonal axes)
Symmetry-distinct sites (fractional):
K 0.0000 0.0000 0.1523 x6  4 Ag 3.61-3.98, 15 Cd 3.67-4.01
Cd 0.0000 0.2910 0.5000 x18  2 Ag 2.89, 6 Cd 2.99-3.12
Cd 0.0165 0.5083 0.3528 x18  3 Ag 2.91-3.08, 6 Cd 3.05-3.17
Ag 0.0000 0.0000 0.3980 x6  4 Ag 2.99-3.12, 9 Cd 3.08-3.34
Ag 0.0000 0.5000 0.0000 x9  8 Cd 2.89-2.91, 2 Ag 3.12

* E_form: -0.055 eV per atom
* E_tot: -1.50 eV/atom
* calculated density: 7.3 Mg/m³

---

The following is a DFT calculation (GGA-PBE) of a geometry-optimized K4Cd3Ag5 structure.

abc: 12.2467 5.3036 12.9173
angles: 90.00 118.16 90.00
With the nearest neighbours (Å) after each atom.
Space group C2/m (No. 12)
Symmetry-distinct sites (fractional):
K 0.1525 0.0000 0.0041 x4  5 Ag 3.40-3.54, 1 Cd 3.56, 3 K 3.60-3.69
K 0.1621 0.0000 0.3448 x4  5 Ag 3.42-3.67, 4 Cd 3.65-3.79
Cd 0.0000 0.5000 0.5000 x2  4 Ag 2.65-2.85
Cd 0.1800 0.0000 0.7415 x4  4 Ag 2.85-2.97
Ag 0.0000 0.0000 0.5000 x2  4 Cd 2.65-2.85
Ag 0.0561 0.5000 0.1236 x4  2 Ag 2.81-2.82, 1 Cd 2.86
Ag 0.0725 0.5000 0.7449 x4  1 Ag 2.81, 3 Cd 2.85-2.97

* E_form: 0.008 eV per atom
* E_tot: -1.78 eV/atom
* calculated density: 4.6 Mg/m³

---

The lowest calculated density belongs to which entry? K3Cd2Ag

---

Which value of calculated density does entry 4 give? 4.6 Mg/m³